# 1
Material: Ac3La4Tm
Method: DFT, PBE-GGA
State: relaxed

```
Ac3La4Tm
1.0
5.9968 -2.6978 0.0000
5.9968 2.6978 0.0000
-4.8184 0.0000 9.6188
Ac La Tm
3 4 1
direct
0.0000 0.0000 0.0000
0.4966 0.4966 0.2563
0.5034 0.5034 0.7437
0.2490 0.2490 0.3797
0.2492 0.2492 0.8694
0.7508 0.7508 0.1306
0.7510 0.7510 0.6203
0.0000 0.0000 0.5000
```

Total magnetic moment in μB/cell: 0.00
DOS at the Fermi energy in states/eV/f.u.: 15.5
E_tot in eV per atom: -4.53

=====

# 2
Material: H2Pt2Rh
Method: DFT, PBE-GGA
State: relaxed

```
H2Pt2Rh
1.0
-1.7530 1.7530 4.2526
1.7530 -1.7530 4.2526
1.7530 1.7530 -4.2526
H Pt Rh
2 2 1
direct
0.2500 0.7500 0.5000
0.7500 0.2500 0.5000
0.1587 0.1587 0.0000
0.8413 0.8413 0.0000
0.5000 0.5000 0.0000
```

Total magnetic moment in μB/cell: 0.00
DOS at the Fermi energy in states/eV/f.u.: 4.3
Offset from the most stable computed form in meV/atom: 165
E_tot in eV per atom: -5.04

=====

# 3
Material: Pr2Ga3Ni4Rh
Method: DFT, PBE-GGA
State: relaxed

```
Pr2Ga3Ni4Rh
1.0
4.0556 0.0000 0.0000
0.0000 4.0556 0.0000
0.0000 0.0000 10.4190
Pr Ga Ni Rh
2 3 4 1
direct
0.0000 0.5000 0.2473
0.5000 0.0000 0.7527
0.0000 0.0000 0.0000
0.0000 0.5000 0.6236
0.5000 0.0000 0.3764
0.0000 0.0000 0.5000
0.0000 0.5000 0.8568
0.5000 0.0000 0.1432
0.5000 0.5000 0.5000
0.5000 0.5000 0.0000
```

Total magnetic moment in μB/cell: 0.00
DOS at the Fermi energy in states/eV/f.u.: 9.9
E_tot in eV per atom: -5.40

=====

# 4
Material: ScP
Method: DFT, PBE-GGA
State: relaxed

```
ScP
1.0
1.8715 1.0805 6.3205
-1.8715 1.0805 6.3205
0.0000 -2.1611 6.3205
Sc P
2 2
direct
0.0000 0.0000 0.0000
0.1718 0.1718 0.1718
0.5841 0.5841 0.5841
0.7536 0.7536 0.7536
```

Total magnetic moment in μB/cell: 0.00
DOS at the Fermi energy in states/eV/f.u.: 0.2
E_tot in eV per atom: -7.22

=====

# 5
Material: BSbRuI2
Method: DFT, PBE-GGA
State: relaxed

```
BSbRuI2
1.0
5.5557 0.0000 0.0000
0.0000 5.5557 0.0000
0.0000 0.0000 4.9694
B Sb Ru I
1 1 1 2
direct
0.0000 0.0000 0.0000
0.5000 0.5000 0.0000
0.5000 0.5000 0.5000
0.0000 0.5000 0.5000
0.5000 0.0000 0.5000
```

Total magnetic moment in μB/cell: 0.00
DOS at the Fermi energy in states/eV/f.u.: 3.5
Offset from the most stable computed form in meV/atom: 0
E_tot in eV per atom: -3.33
Uncorrected formation energy in eV/atom: 1.30

=====

# 6
Material: ErLuRuPb
Method: DFT, PBE-GGA
State: relaxed

```
ErLuRuPb
1.0
0.0000 3.5683 3.5683
3.5683 0.0000 3.5683
3.5683 3.5683 0.0000
Er Lu Ru Pb
1 1 1 1
direct
0.0000 0.0000 0.0000
0.5000 0.5000 0.5000
0.7500 0.7500 0.7500
0.2500 0.2500 0.2500
```

Total magnetic moment in μB/cell: 0.00
DOS at the Fermi energy in states/eV/f.u.: 2.0
E_tot in eV per atom: -5.80